A relaxed structure of SmEr2TmAs4, computed with PBE.

```
SmEr2TmAs4
1.0
-1.632 2.765 -2.572
-2.478 -5.271 -4.097
-6.528 -1.828 2.176
Tm Er As Sm
1 2 4 1
direct
0.000 0.500 0.500 Tm
0.000 0.000 0.000 Er
0.500 0.000 0.500 Er
0.000 0.245 0.256 As
0.500 0.248 0.746 As
0.000 0.755 0.744 As
0.500 0.752 0.254 As
0.500 0.500 0.000 Sm
```

Properties
ΔE_f: -1.5120 eV per atom
space-group type: P2/m, No. 10